First-principles (PBE with a Hubbard U) data for Ba2MoWO6 after structural relaxation, as listed in Alexandria via LeMat-Bulk.

The final energy is -7.119 eV per atom.

The structure belongs to space group R-3m (No. 166, hexagonal axes); the cell edges are 6.0021, 6.0021 and 29.3436 Å and the angles 90.00°, 90.00° and 120.00°. The inequivalent atoms are Ba at (0.0000, 0.0000, 0.1287), Ba at (0.0000, 0.0000, 0.2847), Mo at (0.0000, 0.0000, 0.4090), W at (0.0000, 0.0000, 0.0000), W at (0.0000, 0.0000, 0.5000), O at (0.0131, 0.5065, 0.7049) and O at (0.0186, 0.5093, 0.1261).